(1)
Below is a relaxed NaLaHgTe3 crystal, with properties calculated at the PBE level.

## Properties
- total magnetic moment (μB per atom) = 0.00
- calculated total energy (eV/atom) = -3.5888

a = 14.9539 Å, b = 4.5541 Å, c = 12.3916 Å
α = 90.00°, β = 90.00°, γ = 90.00°
Space group Pnma (No. 62)
Inequivalent atoms, fractional coordinates:
Na  0.2343  0.2500  0.0801 [4 per cell]
La  0.0166  0.2500  0.3385 [4 per cell]
Hg  0.0077  0.7500  0.1045 [4 per cell]
Te  0.1115  0.7500  0.8863 [4 per cell]
Te  0.1130  0.2500  0.5690 [4 per cell]
Te  0.1527  0.7500  0.2503 [4 per cell]


(2)
Below is a relaxed NaLaHgTe3 crystal, with properties calculated at the PBE level.

## Properties
- total magnetic moment (μB per atom) = 0.00
- calculated total energy (eV/atom) = -3.6068

a = 12.0701 Å, b = 4.5276 Å, c = 14.8873 Å
α = 90.00°, β = 90.00°, γ = 90.00°
Space group Pnma (No. 62)
Inequivalent atoms, fractional coordinates:
Na  0.2373  0.2500  0.0202 [4 per cell]
La  0.0070  0.7500  0.7474 [4 per cell]
Hg  0.2445  0.7500  0.2206 [4 per cell]
Te  0.0564  0.7500  0.1057 [4 per cell]
Te  0.0719  0.2500  0.6015 [4 per cell]
Te  0.2440  0.2500  0.3440 [4 per cell]


(3)
Below is a relaxed NaLaHgTe3 crystal, with properties calculated at the PBE level.

## Properties
- total magnetic moment (μB per atom) = 0.00
- calculated total energy (eV/atom) = -3.5826

a = 12.7580 Å, b = 4.6251 Å, c = 13.4651 Å
α = 90.00°, β = 90.00°, γ = 90.00°
Space group Pnma (No. 62)
Inequivalent atoms, fractional coordinates:
Na  0.1878  0.2500  0.0164 [4 per cell]
La  0.0275  0.2500  0.3079 [4 per cell]
Hg  0.2481  0.7500  0.2080 [4 per cell]
Te  0.0410  0.7500  0.1370 [4 per cell]
Te  0.0902  0.2500  0.5640 [4 per cell]
Te  0.2119  0.7500  0.8327 [4 per cell]


(4)
Below is a relaxed NaLaHgTe3 crystal, with properties calculated at the PBE level.

## Properties
- total magnetic moment (μB per atom) = 0.00
- calculated total energy (eV/atom) = -3.5313

a = 20.8806 Å, b = 4.5251 Å, c = 9.0675 Å
α = 90.00°, β = 104.63°, γ = 90.00°
Space group C2/m (No. 12)
Inequivalent atoms, fractional coordinates:
Na  0.1194  0.0000  0.0863 [4 per cell]
La  0.1746  0.0000  0.6006 [4 per cell]
Hg  0.0445  0.5000  0.7262 [4 per cell]
Te  0.0000  0.0000  0.5000 [2 per cell]
Te  0.0000  0.5000  0.0000 [2 per cell]
Te  0.1697  0.5000  0.3533 [4 per cell]
Te  0.1831  0.5000  0.8621 [4 per cell]


(5)
Below is a relaxed NaLaHgTe3 crystal, with properties calculated at the PBE level.

## Properties
- total magnetic moment (μB per atom) = 0.00
- calculated total energy (eV/atom) = -3.5617

a = 9.1622 Å, b = 4.5668 Å, c = 18.7517 Å
α = 90.00°, β = 90.00°, γ = 90.00°
Space group Pnma (No. 62)
Inequivalent atoms, fractional coordinates:
Na  0.0785  0.2500  0.1978 [4 per cell]
La  0.2174  0.2500  0.9606 [4 per cell]
Hg  0.0346  0.2500  0.6660 [4 per cell]
Te  0.0112  0.2500  0.4262 [4 per cell]
Te  0.1260  0.7500  0.0696 [4 per cell]
Te  0.2128  0.2500  0.7863 [4 per cell]


(6)
Below is a relaxed LaNdHg crystal, with properties calculated at the PBE level.

## Properties
- energy relative to the elements (eV per atom) = -0.12
- total magnetic moment (μB per atom) = 0.12

a = 7.4870 Å, b = 7.4870 Å, c = 7.4870 Å
α = 90.00°, β = 90.00°, γ = 90.00°
Space group F-43m (No. 216)
Inequivalent atoms, fractional coordinates:
La  0.0000  0.0000  0.0000 [4 per cell]
Nd  0.0000  0.0000  0.5000 [4 per cell]
Hg  0.2500  0.2500  0.2500 [4 per cell]


(7)
Below is a relaxed LaNdHg6 crystal, with properties calculated at the PBE level.

## Properties
- energy relative to the elements (eV per atom) = -0.41
- total magnetic moment (μB per atom) = 0.00

a = 6.7699 Å, b = 6.7699 Å, c = 5.1022 Å
α = 90.00°, β = 90.00°, γ = 120.00°
Space group P-6m2 (No. 187)
Inequivalent atoms, fractional coordinates:
La  0.0000  0.0000  0.0000 [1 per cell]
Nd  0.3333  0.6667  0.5000 [1 per cell]
Hg  0.3421  0.1711  0.5000 [3 per cell]
Hg  0.5025  0.0050  0.0000 [3 per cell]


(8)
Below is a relaxed LaNdSn2Hg2 crystal, with properties calculated at the PBE level.

## Properties
- total magnetic moment (μB per atom) = 0.00
- calculated total energy (eV/atom) = -3.6719

a = 4.7975 Å, b = 4.7975 Å, c = 16.8625 Å
α = 90.00°, β = 90.00°, γ = 120.00°
Space group P6_3/mmc (No. 194)
Inequivalent atoms, fractional coordinates:
La  0.0000  0.0000  0.0000 [2 per cell]
Nd  0.0000  0.0000  0.2500 [2 per cell]
Sn  0.3333  0.6667  0.1079 [4 per cell]
Hg  0.3333  0.6667  0.6567 [4 per cell]


(9)
Below is a relaxed LaNdSn2Hg2 crystal, with properties calculated at the PBE level.

## Properties
- total magnetic moment (μB per atom) = 0.00
- calculated total energy (eV/atom) = -3.6519

a = 4.8194 Å, b = 4.8194 Å, c = 16.7827 Å
α = 90.00°, β = 90.00°, γ = 120.00°
Space group P6_3/mmc (No. 194)
Inequivalent atoms, fractional coordinates:
La  0.0000  0.0000  0.2500 [2 per cell]
Nd  0.0000  0.0000  0.0000 [2 per cell]
Sn  0.3333  0.6667  0.1053 [4 per cell]
Hg  0.3333  0.6667  0.6532 [4 per cell]


(10)
Below is a relaxed LaPrNi2Hg4 crystal, with properties calculated at the PBE level.

## Properties
- energy relative to the elements (eV per atom) = -0.36
- total magnetic moment (μB per atom) = 0.00

a = 8.2331 Å, b = 4.2189 Å, c = 10.0783 Å
α = 90.00°, β = 90.00°, γ = 90.00°
Space group Amm2 (No. 38)
Inequivalent atoms, fractional coordinates:
La  0.0000  0.0000  0.0000 [2 per cell]
Pr  0.5000  0.0000  0.1298 [2 per cell]
Ni  0.0000  0.0000  0.2870 [2 per cell]
Ni  0.5000  0.0000  0.8397 [2 per cell]
Hg  0.1996  0.0000  0.7097 [4 per cell]
Hg  0.3043  0.0000  0.4201 [4 per cell]


(11)
Below is a relaxed LaHgO3 crystal, with properties calculated at the PBE level.

## Properties
- total magnetic moment (μB per atom) = 0.20
- calculated total energy (eV/atom) = -5.6039

a = 6.0349 Å, b = 6.0349 Å, c = 15.1336 Å
α = 90.00°, β = 90.00°, γ = 120.00°
Space group R-3 (No. 148, hexagonal axes)
Inequivalent atoms, fractional coordinates:
La  0.0000  0.0000  0.1317 [6 per cell]
Hg  0.0000  0.0000  0.3577 [6 per cell]
O  0.0146  0.7194  0.2498 [18 per cell]


(12)
Below is a relaxed La2Hg2O5 crystal, with properties calculated at the PBE level.

## Properties
- total magnetic moment (μB per atom) = 0.00
- calculated total energy (eV/atom) = -5.3951

a = 4.3409 Å, b = 4.3409 Å, c = 7.3392 Å
α = 90.00°, β = 90.00°, γ = 90.00°
Space group P4/mmm (No. 123)
Inequivalent atoms, fractional coordinates:
La  0.0000  0.0000  0.0000 [1 per cell]
La  0.0000  0.0000  0.5000 [1 per cell]
Hg  0.5000  0.5000  0.1953 [2 per cell]
O  0.0000  0.5000  0.2157 [4 per cell]
O  0.5000  0.5000  0.5000 [1 per cell]